# 1
# PmDyMg, relaxed, DFT PBE-GGA
data_PmDyMg
_chemical_formula_sum 'Pm4 Dy4 Mg4'
_cell_length_a 7.457
_cell_length_b 7.457
_cell_length_c 7.457
_cell_angle_alpha 90.00
_cell_angle_beta 90.00
_cell_angle_gamma 90.00
_symmetry_space_group_name_H-M 'F -4 3 m'
_symmetry_Int_Tables_number 216
_symmetry_space_group_name_Hall 'F -4 2 3'
loop_
_atom_site_label
_atom_site_type_symbol
_atom_site_fract_x
_atom_site_fract_y
_atom_site_fract_z
_atom_site_occupancy
Pm1 Pm 0.000 0.000 0.000 1
Dy1 Dy 0.000 0.000 0.500 1
Mg1 Mg 0.250 0.250 0.750 1
# - M_tot: 0.18 μB/atom
# - Crystal system: cubic
# - Final energy: -38.7 eV for the cell shown

=====

# 2
# PrDyMg6, relaxed, DFT PBE-GGA
data_PrDyMg6
_chemical_formula_sum 'Pr1 Dy1 Mg6'
_cell_length_a 5.206
_cell_length_b 5.206
_cell_length_c 7.410
_cell_angle_alpha 90.00
_cell_angle_beta 90.00
_cell_angle_gamma 90.00
_symmetry_space_group_name_H-M 'P 4/m m m'
_symmetry_Int_Tables_number 123
_symmetry_space_group_name_Hall '-P 4 2'
loop_
_atom_site_label
_atom_site_type_symbol
_atom_site_fract_x
_atom_site_fract_y
_atom_site_fract_z
_atom_site_occupancy
Pr1 Pr 0.000 0.000 0.000 1
Dy1 Dy 0.500 0.500 0.500 1
Mg1 Mg 0.000 0.000 0.500 1
Mg2 Mg 0.000 0.500 0.257 1
Mg3 Mg 0.500 0.500 0.000 1
# - M_tot: 0.00 μB/atom
# - Crystal system: tetragonal
# - Final energy: -19.4 eV for the cell shown

=====

# 3
# PrDyMg6, relaxed, DFT PBE-GGA
data_PrDyMg6
_chemical_formula_sum 'Pr1 Dy1 Mg6'
_cell_length_a 5.214
_cell_length_b 7.403
_cell_length_c 5.215
_cell_angle_alpha 90.00
_cell_angle_beta 90.00
_cell_angle_gamma 90.00
_symmetry_space_group_name_H-M 'P m m 2'
_symmetry_Int_Tables_number 25
loop_
_symmetry_equiv_pos_as_xyz
'x,y,z'
'-x,-y,z'
'-x,y,z'
'x,-y,z'
loop_
_atom_site_label
_atom_site_type_symbol
_atom_site_fract_x
_atom_site_fract_y
_atom_site_fract_z
_atom_site_occupancy
Pr1 Pr 0.000 0.000 0.000 1
Dy1 Dy 0.500 0.500 0.492 1
Mg1 Mg 0.000 0.255 0.501 1
Mg2 Mg 0.000 0.500 0.000 1
Mg3 Mg 0.500 0.000 0.494 1
Mg4 Mg 0.500 0.255 0.992 1
# - M_tot: 0.00 μB/atom
# - Crystal system: orthorhombic
# - Final energy: -19.4 eV for the cell shown

=====

# 4
# Pr2DyMg3Tl2Zn, relaxed, DFT PBE-GGA
data_Pr2DyMg3Tl2Zn
_chemical_formula_sum 'Pr4 Dy2 Mg6 Tl4 Zn2'
_cell_length_a 4.682
_cell_length_b 13.092
_cell_length_c 7.682
_cell_angle_alpha 90.00
_cell_angle_beta 90.00
_cell_angle_gamma 90.00
_symmetry_space_group_name_H-M 'A m m 2'
_symmetry_Int_Tables_number 38
loop_
_symmetry_equiv_pos_as_xyz
'x,y,z'
'-x,-y,z'
'-x,y,z'
'x,-y,z'
'x,y+1/2,z+1/2'
'-x,-y+1/2,z+1/2'
'-x,y+1/2,z+1/2'
'x,-y+1/2,z+1/2'
loop_
_atom_site_label
_atom_site_type_symbol
_atom_site_fract_x
_atom_site_fract_y
_atom_site_fract_z
_atom_site_occupancy
Pr1 Pr 0.000 0.205 0.000 1
Dy1 Dy 0.000 0.000 0.614 1
Mg1 Mg 0.500 0.000 0.974 1
Mg2 Mg 0.500 0.117 0.325 1
Tl1 Tl 0.500 0.162 0.704 1
Zn1 Zn 0.000 0.000 0.216 1
# - M_tot: 0.00 μB/atom
# - Crystal system: orthorhombic
# - Final energy: -55.6 eV for the cell shown

=====

# 5
# DyMgPt, relaxed, DFT PBE-GGA
data_DyMgPt
_chemical_formula_sum 'Dy2 Mg2 Pt2'
_cell_length_a 4.6426
_cell_length_b 4.6426
_cell_length_c 6.7430
_cell_angle_alpha 90.00
_cell_angle_beta 90.00
_cell_angle_gamma 120.00
_symmetry_space_group_name_H-M 'P 63 m c'
_symmetry_Int_Tables_number 186
_symmetry_space_group_name_Hall 'P 6c -2c'
loop_
_atom_site_label
_atom_site_type_symbol
_atom_site_fract_x
_atom_site_fract_y
_atom_site_fract_z
_atom_site_occupancy
Dy1 Dy 0.0000 0.0000 0.0000 1
Mg1 Mg 0.3333 0.6667 0.2598 1
Pt1 Pt 0.3333 0.6667 0.7196 1
# - M_tot: 0.00 μB/atom
# - Crystal system: hexagonal
# - Final energy: -29.2 eV for the cell shown

=====

# 6
# TbDy2MgPt4, relaxed, DFT PBE-GGA
data_TbDy2MgPt4
_chemical_formula_sum 'Tb1 Dy2 Mg1 Pt4'
_cell_length_a 4.836
_cell_length_b 4.836
_cell_length_c 6.851
_cell_angle_alpha 90.00
_cell_angle_beta 90.00
_cell_angle_gamma 90.00
_symmetry_space_group_name_H-M 'P 4/m m m'
_symmetry_Int_Tables_number 123
_symmetry_space_group_name_Hall '-P 4 2'
loop_
_atom_site_label
_atom_site_type_symbol
_atom_site_fract_x
_atom_site_fract_y
_atom_site_fract_z
_atom_site_occupancy
Tb1 Tb 0.000 0.000 0.000 1
Dy1 Dy 0.000 0.000 0.500 1
Dy2 Dy 0.500 0.500 0.000 1
Mg1 Mg 0.500 0.500 0.500 1
Pt1 Pt 0.000 0.500 0.256 1
# - M_tot: 0.00 μB/atom
# - Crystal system: tetragonal
# - Final energy: -48.5 eV for the cell shown

=====

# 7
# Dy3Mg3TlPt2, relaxed, DFT PBE-GGA
data_Dy3Mg3TlPt2
_chemical_formula_sum 'Dy3 Mg3 Tl1 Pt2'
_cell_length_a 7.4590
_cell_length_b 7.4590
_cell_length_c 4.2241
_cell_angle_alpha 90.00
_cell_angle_beta 90.00
_cell_angle_gamma 120.00
_symmetry_space_group_name_H-M 'P -6 2 m'
_symmetry_Int_Tables_number 189
_symmetry_space_group_name_Hall 'P -6 -2'
loop_
_atom_site_label
_atom_site_type_symbol
_atom_site_fract_x
_atom_site_fract_y
_atom_site_fract_z
_atom_site_occupancy
Dy1 Dy 0.0000 0.4244 0.0000 1
Mg1 Mg 0.0000 0.7395 0.5000 1
Tl1 Tl 0.0000 0.0000 0.0000 1
Pt1 Pt 0.3333 0.6667 0.5000 1
# - M_tot: 0.00 μB/atom
# - Crystal system: hexagonal
# - Final energy: -39.1 eV for the cell shown

=====

# 8
# Dy2TmMg3Pt3, relaxed, DFT PBE-GGA
data_Dy2TmMg3Pt3
_chemical_formula_sum 'Dy4 Tm2 Mg6 Pt6'
_cell_length_a 4.063
_cell_length_b 12.677
_cell_length_c 7.331
_cell_angle_alpha 90.00
_cell_angle_beta 90.00
_cell_angle_gamma 90.00
_symmetry_space_group_name_H-M 'A m m 2'
_symmetry_Int_Tables_number 38
loop_
_symmetry_equiv_pos_as_xyz
'x,y,z'
'-x,-y,z'
'-x,y,z'
'x,-y,z'
'x,y+1/2,z+1/2'
'-x,-y+1/2,z+1/2'
'-x,y+1/2,z+1/2'
'x,-y+1/2,z+1/2'
loop_
_atom_site_label
_atom_site_type_symbol
_atom_site_fract_x
_atom_site_fract_y
_atom_site_fract_z
_atom_site_occupancy
Dy1 Dy 0.000 0.205 0.000 1
Tm1 Tm 0.000 0.000 0.613 1
Mg1 Mg 0.500 0.000 0.959 1
Mg2 Mg 0.500 0.123 0.328 1
Pt1 Pt 0.000 0.000 0.207 1
Pt2 Pt 0.500 0.165 0.704 1
# - M_tot: 0.00 μB/atom
# - Crystal system: orthorhombic
# - Final energy: -90.4 eV for the cell shown

=====

# 9
# DyTm2Mg3Pt3, relaxed, DFT PBE-GGA
data_DyTm2Mg3Pt3
_chemical_formula_sum 'Dy2 Tm4 Mg6 Pt6'
_cell_length_a 4.055
_cell_length_b 12.660
_cell_length_c 7.296
_cell_angle_alpha 90.00
_cell_angle_beta 90.00
_cell_angle_gamma 90.00
_symmetry_space_group_name_H-M 'A m m 2'
_symmetry_Int_Tables_number 38
loop_
_symmetry_equiv_pos_as_xyz
'x,y,z'
'-x,-y,z'
'-x,y,z'
'x,-y,z'
'x,y+1/2,z+1/2'
'-x,-y+1/2,z+1/2'
'-x,y+1/2,z+1/2'
'x,-y+1/2,z+1/2'
loop_
_atom_site_label
_atom_site_type_symbol
_atom_site_fract_x
_atom_site_fract_y
_atom_site_fract_z
_atom_site_occupancy
Dy1 Dy 0.000 0.000 0.000 1
Tm1 Tm 0.000 0.204 0.615 1
Mg1 Mg 0.500 0.000 0.657 1
Mg2 Mg 0.500 0.123 0.287 1
Pt1 Pt 0.000 0.000 0.413 1
Pt2 Pt 0.500 0.168 0.910 1
# - M_tot: 0.00 μB/atom
# - Crystal system: orthorhombic
# - Final energy: -90.3 eV for the cell shown

=====

# 10
# Dy2TmMgPt4, relaxed, DFT PBE-GGA
data_Dy2TmMgPt4
_chemical_formula_sum 'Dy2 Tm1 Mg1 Pt4'
_cell_length_a 4.818
_cell_length_b 4.818
_cell_length_c 6.815
_cell_angle_alpha 90.00
_cell_angle_beta 90.00
_cell_angle_gamma 90.00
_symmetry_space_group_name_H-M 'P 4/m m m'
_symmetry_Int_Tables_number 123
_symmetry_space_group_name_Hall '-P 4 2'
loop_
_atom_site_label
_atom_site_type_symbol
_atom_site_fract_x
_atom_site_fract_y
_atom_site_fract_z
_atom_site_occupancy
Dy1 Dy 0.000 0.000 0.000 1
Dy2 Dy 0.500 0.500 0.500 1
Tm1 Tm 0.000 0.000 0.500 1
Mg1 Mg 0.500 0.500 0.000 1
Pt1 Pt 0.000 0.500 0.249 1
# - M_tot: 0.00 μB/atom
# - Crystal system: tetragonal
# - Final energy: -48.5 eV for the cell shown

=====

# 11
# Dy2YMgPt4, relaxed, DFT PBE-GGA
data_Dy2YMgPt4
_chemical_formula_sum 'Dy2 Y1 Mg1 Pt4'
_cell_length_a 4.836
_cell_length_b 4.836
_cell_length_c 6.843
_cell_angle_alpha 90.00
_cell_angle_beta 90.00
_cell_angle_gamma 90.00
_symmetry_space_group_name_H-M 'P 4/m m m'
_symmetry_Int_Tables_number 123
_symmetry_space_group_name_Hall '-P 4 2'
loop_
_atom_site_label
_atom_site_type_symbol
_atom_site_fract_x
_atom_site_fract_y
_atom_site_fract_z
_atom_site_occupancy
Dy1 Dy 0.000 0.000 0.000 1
Dy2 Dy 0.500 0.500 0.500 1
Y1 Y 0.000 0.000 0.500 1
Mg1 Mg 0.500 0.500 0.000 1
Pt1 Pt 0.000 0.500 0.243 1
# - M_tot: 0.00 μB/atom
# - Crystal system: tetragonal
# - Final energy: -50.3 eV for the cell shown

=====

# 12
# DyY2Mg3Pt3, relaxed, DFT PBE-GGA
data_DyY2Mg3Pt3
_chemical_formula_sum 'Dy2 Y4 Mg6 Pt6'
_cell_length_a 4.086
_cell_length_b 12.715
_cell_length_c 7.374
_cell_angle_alpha 90.00
_cell_angle_beta 90.00
_cell_angle_gamma 90.00
_symmetry_space_group_name_H-M 'A m m 2'
_symmetry_Int_Tables_number 38
loop_
_symmetry_equiv_pos_as_xyz
'x,y,z'
'-x,-y,z'
'-x,y,z'
'x,-y,z'
'x,y+1/2,z+1/2'
'-x,-y+1/2,z+1/2'
'-x,y+1/2,z+1/2'
'x,-y+1/2,z+1/2'
loop_
_atom_site_label
_atom_site_type_symbol
_atom_site_fract_x
_atom_site_fract_y
_atom_site_fract_z
_atom_site_occupancy
Dy1 Dy 0.000 0.000 0.000 1
Y1 Y 0.000 0.205 0.614 1
Mg1 Mg 0.500 0.000 0.654 1
Mg2 Mg 0.500 0.123 0.286 1
Pt1 Pt 0.000 0.000 0.407 1
Pt2 Pt 0.500 0.165 0.910 1
# - M_tot: 0.00 μB/atom
# - Crystal system: orthorhombic
# - Final energy: -98.0 eV for the cell shown